[1]
Compound: Ni3Mo
Source: the Alexandria database
Functional: meta-GGA SCAN
Structure: PBEsol geometry

Cell: 2.5744 4.3674 4.8299 Å, 116.88 105.46 90.00°
Closest atoms and distances in Å follow each position.
Fractional positions:
Ni1 0.2451 0.9040 0.4903  9 Ni 2.48-2.58, 3 Mo 2.53-2.54
Ni2 0.5000 0.5049 0.0000  8 Ni 2.48-2.58, 4 Mo 2.51-2.56
Ni3 0.7549 0.4137 0.5097  9 Ni 2.48-2.58, 3 Mo 2.53-2.54
Mo1 0.0000 0.0107 0.0000  10 Ni 2.51-2.56, 2 Mo 2.57

M_tot = 0.000 μB/atom
Crystal system = orthorhombic
Mass density = 9.77 g/cm³
Total DFT energy (no corrections) = -20.727 eV per atom

---

[2]
Compound: K2Sr
Source: the Alexandria database
Functional: meta-GGA SCAN
Structure: PBEsol geometry

Cell: 4.3354 8.6201 10.8056 Å, 105.56 90.17 104.33°
Closest atoms and distances in Å follow each position.
Fractional positions:
K1 0.9977 0.9935 0.9921  8 K 4.34-4.55, 4 Sr 4.41-4.53
K2 0.3909 0.7823 0.2815  8 K 4.34-4.55, 4 Sr 4.56-4.57
K3 0.3331 0.6660 0.6654  7 K 4.34-4.52, 5 Sr 4.40-4.55
Sr1 0.7181 0.4358 0.9379  4 Sr 4.23-4.34, 8 K 4.45-4.58
Sr2 0.0636 0.1270 0.6251  4 Sr 4.23-4.34, 8 K 4.40-4.57
K4 0.6635 0.3288 0.3313  9 K 4.34-4.53, 3 Sr 4.53-4.58

M_tot = 0.017 μB/atom
Crystal system = triclinic
Mass density = 1.47 g/cm³
Total DFT energy (no corrections) = -12.889 eV per atom

---

[3]
Compound: Y2CdO2
Source: the Alexandria database
Functional: meta-GGA SCAN
Structure: PBEsol geometry

Cell: 3.9520 3.9520 6.4819 Å, 107.75 107.75 90.00°
Closest atoms and distances in Å follow each position.
Fractional positions:
O1 0.2500 0.7500 0.5000  4 Y 2.23
O2 0.7500 0.2500 0.5000  4 Y 2.23
Y1 0.6609 0.6609 0.3218  4 O 2.23
Y2 0.3391 0.3391 0.6782  4 O 2.23
Cd1 0.0000 0.0000 0.0000  8 Y 3.37, 8 O 3.53

M_tot = 0.000 μB/atom
Crystal system = tetragonal
Mass density = 5.86 g/cm³
Total DFT energy (no corrections) = -22.414 eV per atom
Formation energy (no corrections) = -2.70 eV/atom

---

[4]
Compound: TiNiSbAs2
Source: the Alexandria database
Functional: meta-GGA SCAN
Structure: PBEsol geometry

Cell: 4.4946 4.8016 4.8016 Å, 90.00 90.00 90.00°
Closest atoms and distances in Å follow each position.
Fractional positions:
Ni1 0.5000 0.0000 0.0000  2 Ti 2.25
As1 0.0000 0.0000 0.5000  2 Ti 2.40
As2 0.0000 0.5000 0.0000  2 Ti 2.40
Sb1 0.5000 0.5000 0.5000  8 As 3.29, 4 Ni 3.40
Ti1 0.0000 0.0000 0.0000  2 Ni 2.25, 4 As 2.40

M_tot = 0.000 μB/atom
Crystal system = tetragonal
Mass density = 6.06 g/cm³
Total DFT energy (no corrections) = -21.456 eV per atom
Formation energy (no corrections) = 0.51 eV/atom

---

[5]
Compound: Sr3HgH
Source: the Alexandria database
Functional: meta-GGA SCAN
Structure: PBEsol geometry

Cell: 5.2412 5.2412 5.2412 Å, 90.00 90.00 90.00°
Closest atoms and distances in Å follow each position.
Fractional positions:
Sr1 0.0000 0.0000 0.5000  2 H 2.62
H1 0.0000 0.0000 0.0000  6 Sr 2.62
Hg1 0.5000 0.5000 0.5000  12 Sr 3.71
Sr2 0.5000 0.0000 0.0000  2 H 2.62
Sr3 0.0000 0.5000 0.0000  2 H 2.62

M_tot = 0.002 μB/atom
Crystal system = cubic
Mass density = 5.36 g/cm³
Total DFT energy (no corrections) = -28.026 eV per atom

---

[6]
Compound: Ta2CoPt
Source: the Alexandria database
Functional: meta-GGA SCAN
Structure: PBEsol geometry

Cell: 2.7720 2.7720 7.6737 Å, 90.00 90.00 90.00°
Closest atoms and distances in Å follow each position.
Fractional positions:
Ta1 0.0000 0.0000 0.2307  4 Co 2.64, 4 Ta 2.77, 4 Pt 2.85
Ta2 0.0000 0.0000 0.7693  4 Co 2.64, 4 Ta 2.77, 4 Pt 2.85
Pt1 0.5000 0.5000 0.5000  4 Pt 2.77, 8 Ta 2.85
Co1 0.5000 0.5000 0.0000  8 Ta 2.64, 4 Co 2.77

M_tot = 0.089 μB/atom
Crystal system = tetragonal
Mass density = 17.34 g/cm³
Total DFT energy (no corrections) = -55.586 eV per atom